Below is a relaxed structure of Ba2CuF6, with properties calculated at the PBE-GGA level.

Properties
**Relative energy among the computed polymorphs**: 0.055 eV/atom
**ρ**: 5.53 Mg/m³
**Total DFT energy (no corrections)**: -5.1787 eV/atom

Cell lengths 5.851, 5.851, 4.580 Å; angles 90.00, 90.00, 120.00 degrees
Fractional positions:
Ba 0.333 0.667 0.235
Ba 0.667 0.333 0.765
Cu 0.000 0.000 0.500
F 0.173 0.346 0.732
F 0.173 0.827 0.732
F 0.346 0.173 0.268
F 0.654 0.827 0.732
F 0.827 0.173 0.268
F 0.827 0.654 0.268

---

Below is a relaxed structure of BaCu2F, with properties calculated at the PBE-GGA level.

Properties
**Relative energy among the computed polymorphs**: 0.000 eV/atom
**ρ**: 5.76 Mg/m³
**Total DFT energy (no corrections)**: -4.0768 eV/atom

Cell lengths 12.455, 12.455, 12.455 Å; angles 163.09, 163.09, 24.01 degrees
Fractional positions:
Ba 0.000 0.000 0.000
Ba 0.750 0.250 0.500
Cu 0.127 0.125 0.502
Cu 0.375 0.873 0.998
Cu 0.623 0.625 0.498
Cu 0.875 0.377 0.002
F 0.250 0.750 0.500
F 0.500 0.500 0.000

---

Below is a relaxed structure of BaCu3F8, with properties calculated at the PBE-GGA level.

Properties
**ρ**: 4.49 Mg/m³
**Total DFT energy (no corrections)**: -4.4216 eV/atom

Cell lengths 5.300, 5.300, 7.296 Å; angles 90.00, 90.00, 120.00 degrees
Fractional positions:
Ba 0.000 0.000 0.000
Cu 0.000 0.000 0.500
Cu 0.333 0.667 0.700
Cu 0.667 0.333 0.300
F 0.014 0.301 0.333
F 0.287 0.986 0.333
F 0.301 0.287 0.667
F 0.333 0.667 0.962
F 0.667 0.333 0.038
F 0.699 0.713 0.333
F 0.713 0.014 0.667
F 0.986 0.699 0.667

---

Below is a relaxed structure of BaCuF2, with properties calculated at the PBE-GGA level.

Properties
**Relative energy among the computed polymorphs**: 0.497 eV/atom
**ρ**: 4.70 Mg/m³
**Total DFT energy (no corrections)**: -3.9005 eV/atom

Cell lengths 6.868, 6.868, 6.868 Å; angles 32.77, 32.77, 32.77 degrees
Fractional positions:
Ba 0.000 0.000 0.000
Cu 0.500 0.500 0.500
F 0.126 0.126 0.126
F 0.874 0.874 0.874

---

Below is a relaxed structure of BaCu4F12, with properties calculated at the PBE-GGA level.

Properties
**ρ**: 4.23 Mg/m³
**Total DFT energy (no corrections)**: -4.2804 eV/atom

Cell lengths 6.808, 6.808, 6.808 Å; angles 109.47, 109.47, 109.47 degrees
Fractional positions:
Ba 0.000 0.000 0.000
Cu 0.000 0.000 0.500
Cu 0.000 0.500 0.000
Cu 0.500 0.000 0.000
Cu 0.500 0.500 0.500
F 0.002 0.247 0.755
F 0.245 0.492 0.247
F 0.245 0.998 0.753
F 0.247 0.245 0.492
F 0.247 0.755 0.002
F 0.492 0.247 0.245
F 0.508 0.753 0.755
F 0.753 0.245 0.998
F 0.753 0.755 0.508
F 0.755 0.002 0.247
F 0.755 0.508 0.753
F 0.998 0.753 0.245

---

Below is a relaxed structure of BaCuF2, with properties calculated at the PBE-GGA level.

Properties
**Relative energy among the computed polymorphs**: 0.000 eV/atom
**ρ**: 5.56 Mg/m³
**Total DFT energy (no corrections)**: -4.3975 eV/atom

Cell lengths 4.654, 4.654, 4.654 Å; angles 60.00, 60.00, 60.00 degrees
Fractional positions:
Ba 0.000 0.000 0.000
Cu 0.500 0.500 0.500
F 0.250 0.250 0.250
F 0.750 0.750 0.750

---

Below is a relaxed structure of Ba2CuF6, with properties calculated at the PBE-GGA level.

Properties
**Relative energy among the computed polymorphs**: 0.000 eV/atom
**ρ**: 5.22 Mg/m³
**Total DFT energy (no corrections)**: -5.2337 eV/atom

Cell lengths 8.535, 8.535, 6.063 Å; angles 90.00, 90.00, 40.67 degrees
Fractional positions:
Ba 0.151 0.151 0.000
Ba 0.349 0.349 0.500
Ba 0.651 0.651 0.500
Ba 0.849 0.849 0.000
Cu 0.000 0.000 0.500
Cu 0.500 0.500 0.000
F 0.002 0.498 0.750
F 0.119 0.119 0.500
F 0.211 0.789 0.843
F 0.289 0.711 0.343
F 0.381 0.381 0.000
F 0.498 0.002 0.250
F 0.502 0.998 0.750
F 0.619 0.619 0.000
F 0.711 0.289 0.657
F 0.789 0.211 0.157
F 0.881 0.881 0.500
F 0.998 0.502 0.250

---

Below is a relaxed structure of BaCuF3, with properties calculated at the PBE-GGA level.

Properties
**Relative energy among the computed polymorphs**: 0.585 eV/atom
**ρ**: 3.33 Mg/m³
**Total DFT energy (no corrections)**: -4.3265 eV/atom

Cell lengths 5.049, 5.049, 5.049 Å; angles 90.00, 90.00, 90.00 degrees
Fractional positions:
Ba 0.000 0.000 0.000
Cu 0.500 0.500 0.500
F 0.000 0.000 0.500
F 0.000 0.500 0.000
F 0.500 0.000 0.000

---

Below is a relaxed structure of BaCu4F8, with properties calculated at the PBE-GGA level.

Properties
**ρ**: 4.31 Mg/m³
**Total DFT energy (no corrections)**: -4.3557 eV/atom

Cell lengths 6.664, 6.664, 6.664 Å; angles 60.00, 60.00, 60.00 degrees
Fractional positions:
Ba 0.000 0.000 0.000
Cu 0.137 0.621 0.621
Cu 0.621 0.137 0.621
Cu 0.621 0.621 0.137
Cu 0.621 0.621 0.621
F 0.396 0.396 0.396
F 0.396 0.396 0.812
F 0.396 0.812 0.396
F 0.453 0.849 0.849
F 0.812 0.396 0.396
F 0.849 0.453 0.849
F 0.849 0.849 0.453
F 0.849 0.849 0.849

---

Below is a relaxed structure of BaCuF3, with properties calculated at the PBE-GGA level.

Properties
**Relative energy among the computed polymorphs**: 0.000 eV/atom
**ρ**: 4.77 Mg/m³
**Total DFT energy (no corrections)**: -4.9112 eV/atom

Cell lengths 7.298, 7.298, 6.704 Å; angles 102.53, 102.53, 31.10 degrees
Fractional positions:
Ba 0.183 0.183 0.220
Ba 0.817 0.817 0.780
Cu 0.466 0.466 0.308
Cu 0.534 0.534 0.692
F 0.004 0.004 0.728
F 0.207 0.207 0.618
F 0.346 0.346 0.050
F 0.654 0.654 0.950
F 0.793 0.793 0.382
F 0.996 0.996 0.272

---

Below is a relaxed structure of Ba2CuF6, with properties calculated at the PBE-GGA level.

Properties
**Relative energy among the computed polymorphs**: 0.142 eV/atom
**ρ**: 4.26 Mg/m³
**Total DFT energy (no corrections)**: -5.0919 eV/atom

Cell lengths 5.527, 5.527, 11.528 Å; angles 90.00, 90.00, 90.00 degrees
Fractional positions:
Ba 0.000 0.000 0.164
Ba 0.000 0.000 0.836
Ba 0.500 0.500 0.336
Ba 0.500 0.500 0.664
Cu 0.000 0.000 0.500
Cu 0.500 0.500 0.000
F 0.176 0.176 0.354
F 0.176 0.176 0.646
F 0.249 0.751 0.500
F 0.251 0.251 0.000
F 0.324 0.676 0.146
F 0.324 0.676 0.854
F 0.676 0.324 0.146
F 0.676 0.324 0.854
F 0.749 0.749 0.000
F 0.751 0.249 0.500
F 0.824 0.824 0.354
F 0.824 0.824 0.646

---

Below is a relaxed structure of BaCu2F8, with properties calculated at the PBE-GGA level.

Properties
**ρ**: 3.87 Mg/m³
**Total DFT energy (no corrections)**: -4.2907 eV/atom

Cell lengths 5.615, 5.698, 6.064 Å; angles 74.02, 73.74, 88.19 degrees
Fractional positions:
Ba 0.000 0.000 0.000
Cu 0.487 0.486 0.258
Cu 0.513 0.514 0.742
F 0.261 0.730 0.254
F 0.286 0.754 0.738
F 0.321 0.336 0.075
F 0.321 0.336 0.602
F 0.679 0.664 0.398
F 0.679 0.664 0.925
F 0.714 0.246 0.262
F 0.739 0.270 0.746